First-principles (GGA-PBE) data for Cd2In3Pb4 after structural relaxation, as listed in the Alexandria database.

Results
Fermi-level density of states   0.48 states/eV/atom
DFT formation energy   51 meV per atom
Calculated total energy   -2.7129 eV/atom

a = 3.5073 Å, b = 3.5073 Å, c = 24.3887 Å
α = 90.00°, β = 90.00°, γ = 120.00°
Closest atoms and distances in Å follow each position.
Sites, in units of the cell vectors:
Cd1 0.6667 0.3333 0.0796  1 Pb 2.99, 3 In 3.16
Pb1 0.0000 0.0000 0.7762  3 Cd 3.28, 3 In 3.43, 6 Pb 3.51
Pb2 0.0000 0.0000 0.5491  3 In 3.43, 9 Pb 3.51-3.53
Pb3 0.6667 0.3333 0.2021  1 Cd 2.99
In1 0.0000 0.0000 0.3152  6 Pb 3.42-3.46, 6 In 3.51
In2 0.0000 0.0000 0.9802  6 Cd 3.14-3.16, 6 In 3.51
Cd2 0.6667 0.3333 0.8819  3 In 3.14, 3 Pb 3.28, 6 Cd 3.51
In3 0.6667 0.3333 0.6625  6 Pb 3.43, 6 In 3.51
Pb4 0.6667 0.3333 0.4304  3 In 3.46, 9 Pb 3.51-3.53


First-principles (GGA-PBE) data for TaH2Ir after structural relaxation, as listed in the Alexandria database.

Results
Fermi-level density of states   0.57 states/eV/atom
Calculated total energy   -6.4276 eV/atom

a = 3.8272 Å, b = 3.8272 Å, c = 3.8272 Å
α = 60.00°, β = 60.00°, γ = 60.00°
Closest atoms and distances in Å follow each position.
Sites, in units of the cell vectors:
H1 0.2500 0.2500 0.2500  4 Ta 2.34, 4 Ir 2.34
Ir1 0.5000 0.5000 0.5000  8 H 2.34
Ta1 0.0000 0.0000 0.0000  8 H 2.34
H2 0.7500 0.7500 0.7500  4 Ta 2.34, 4 Ir 2.34


First-principles (GGA-PBE) data for Ho8Te3C3S after structural relaxation, as listed in the Alexandria database.

Results
Fermi-level density of states   0.34 states/eV/atom
Calculated total energy   -6.1660 eV/atom
Formation energy from raw total energies   -0.9763 eV/atom

a = 7.6707 Å, b = 7.6694 Å, c = 8.1264 Å
α = 118.15°, β = 90.00°, γ = 120.00°
Closest atoms and distances in Å follow each position.
Sites, in units of the cell vectors:
Te1 0.0000 0.5000 0.0000  6 Ho 3.07-3.09
Ho1 0.7052 0.9528 0.7003  2 C 2.53, 1 S 2.76
Ho2 0.2705 0.5411 0.3117  3 C 2.56
Ho3 0.2948 0.0472 0.2997  2 C 2.53, 1 S 2.76
Ho4 0.2474 0.4948 0.7003  2 C 2.53, 1 S 2.76
C1 0.5000 0.0000 0.5000  6 Ho 2.53-2.56
Ho5 0.7526 0.5052 0.2997  2 C 2.53, 1 S 2.76
Te2 0.0000 0.0000 0.0000  6 Ho 3.07-3.09
Ho6 0.7295 0.4589 0.6883  3 C 2.56
C2 0.5000 0.5000 0.5000  6 Ho 2.53-2.56
Te3 0.5000 0.5000 0.0000  6 Ho 3.07-3.09
Ho7 0.2475 0.9528 0.7003  2 C 2.53, 1 S 2.76
C3 0.0000 0.5000 0.5000  6 Ho 2.53-2.56
S1 0.0000 0.0000 0.5000  6 Ho 2.76
Ho8 0.7525 0.0472 0.2997  2 C 2.53, 1 S 2.76


First-principles (GGA-PBE) data for CaMg2Te after structural relaxation, as listed in the Alexandria database.

Results
Fermi-level density of states   0.43 states/eV/atom
Calculated total energy   -2.3957 eV/atom
Formation energy from raw total energies   -0.3126 eV/atom

a = 3.8354 Å, b = 3.8354 Å, c = 7.7554 Å
α = 90.00°, β = 90.00°, γ = 90.00°
Closest atoms and distances in Å follow each position.
Sites, in units of the cell vectors:
Mg1 0.0000 0.0000 0.4511  1 Mg 3.12, 4 Te 3.13
Ca1 0.5000 0.5000 0.7500  8 Mg 3.57, 4 Ca 3.84, 2 Te 3.88
Mg2 0.0000 0.0000 0.0489  1 Mg 3.12, 4 Te 3.13
Te1 0.5000 0.5000 0.2500  8 Mg 3.13


First-principles (GGA-PBE) data for TbCoSn2 after structural relaxation, as listed in the Alexandria database.

Results
Fermi-level density of states   0.60 states/eV/atom
DFT formation energy   -452 meV per atom
Calculated total energy   -5.3875 eV/atom

a = 4.4501 Å, b = 9.3665 Å, c = 9.8573 Å
α = 118.37°, β = 103.05°, γ = 90.00°
Closest atoms and distances in Å follow each position.
Sites, in units of the cell vectors:
Co1 0.8543 0.1062 0.7087  5 Sn 2.52-2.74
Tb1 0.5000 0.7303 0.0000  4 Co 3.31, 10 Sn 3.40-3.66
Tb2 0.2908 0.2908 0.5815  9 Sn 3.07-3.43, 6 Co 3.39
Sn1 0.6973 0.3632 0.3947  3 Co 2.52-2.74
Sn2 0.6973 0.0315 0.3947  3 Co 2.52-2.74
Sn3 0.9139 0.9139 0.8279  2 Co 2.56
Tb3 0.5000 0.2697 0.0000  4 Co 3.31, 10 Sn 3.40-3.66
Sn4 0.3027 0.6368 0.6053  3 Co 2.52-2.74
Co2 0.8543 0.6024 0.7087  5 Sn 2.52-2.74
Co3 0.1457 0.3976 0.2913  5 Sn 2.52-2.74
Sn5 0.0834 0.5834 0.1667  2 Co 2.55, 1 Sn 2.80
Co4 0.1457 0.8938 0.2913  5 Sn 2.52-2.74
Sn6 0.9166 0.4166 0.8333  2 Co 2.55, 1 Sn 2.80
Tb4 0.7092 0.7092 0.4185  9 Sn 3.07-3.43, 6 Co 3.39
Sn7 0.0861 0.0861 0.1721  2 Co 2.56
Sn8 0.3027 0.9685 0.6053  3 Co 2.52-2.74


First-principles (GGA-PBE) data for Be2Re2Pt after structural relaxation, as listed in the Alexandria database.

Results
Fermi-level density of states   0.42 states/eV/atom
DFT formation energy   -189 meV per atom
Calculated total energy   -7.8671 eV/atom

a = 5.6588 Å, b = 5.6588 Å, c = 3.7719 Å
α = 90.00°, β = 90.00°, γ = 90.00°
Closest atoms and distances in Å follow each position.
Sites, in units of the cell vectors:
Be1 0.8733 0.6267 0.0000  1 Be 2.03, 2 Pt 2.23
Re1 0.8350 0.3350 0.5000  6 Be 2.52, 1 Re 2.64
Pt1 0.5000 0.5000 0.0000  4 Be 2.23
Be2 0.3733 0.8733 0.0000  1 Be 2.03, 2 Pt 2.23
Be3 0.6267 0.1267 0.0000  1 Be 2.03, 2 Pt 2.23
Be4 0.1267 0.3733 0.0000  1 Be 2.03, 2 Pt 2.23
Pt2 0.0000 0.0000 0.0000  4 Be 2.23
Re2 0.6650 0.8350 0.5000  6 Be 2.52, 1 Re 2.64
Re3 0.1650 0.6650 0.5000  6 Be 2.52, 1 Re 2.64
Re4 0.3350 0.1650 0.5000  6 Be 2.52, 1 Re 2.64


First-principles (GGA-PBE) data for NaMn2SnCl8 after structural relaxation, as listed in the Alexandria database.

Results
Fermi-level density of states   0.72 states/eV/atom
Calculated total energy   -4.2887 eV/atom
Formation energy from raw total energies   -1.0858 eV/atom

a = 7.6590 Å, b = 7.6590 Å, c = 7.6590 Å
α = 106.83°, β = 106.83°, γ = 114.89°
Closest atoms and distances in Å follow each position.
Sites, in units of the cell vectors:
Cl1 0.3787 0.0693 0.3095  1 Mn 2.29
Cl2 0.5055 0.6886 0.8169  1 Mn 2.28
Na1 0.2500 0.7500 0.5000  8 Cl 2.94-3.15
Cl3 0.9307 0.6213 0.6905  1 Mn 2.29
Sn1 0.0000 0.0000 0.0000  8 Cl 2.88-3.06
Mn1 0.5000 0.5000 0.0000  4 Cl 2.28
Cl4 0.8716 0.6886 0.1831  1 Mn 2.28
Cl5 0.3114 0.1284 0.8169  1 Mn 2.28
Cl6 0.7598 0.0693 0.6905  1 Mn 2.29
Mn2 0.7500 0.2500 0.5000  4 Cl 2.29
Cl7 0.3114 0.4945 0.1831  1 Mn 2.28
Cl8 0.9307 0.2402 0.3095  1 Mn 2.29


First-principles (GGA-PBE) data for AgAsPb after structural relaxation, as listed in the Alexandria database.

Results
Fermi-level density of states   0.20 states/eV/atom
DFT formation energy   123 meV per atom
Calculated total energy   -3.6132 eV/atom

a = 4.8318 Å, b = 4.8318 Å, c = 4.8318 Å
α = 60.00°, β = 60.00°, γ = 60.00°
Closest atoms and distances in Å follow each position.
Sites, in units of the cell vectors:
Pb1 0.0000 0.0000 0.0000  4 As 2.96
Ag1 0.5000 0.5000 0.5000  4 As 2.96
As1 0.7500 0.7500 0.7500  4 Pb 2.96, 4 Ag 2.96


First-principles (GGA-PBE) data for CeEuDySn after structural relaxation, as listed in the Alexandria database.

Results
Fermi-level density of states   2.42 states/eV/atom
DFT formation energy   -206 meV per atom
Calculated total energy   -6.4092 eV/atom

a = 5.4904 Å, b = 5.4904 Å, c = 5.4904 Å
α = 60.00°, β = 60.00°, γ = 60.00°
Closest atoms and distances in Å follow each position.
Sites, in units of the cell vectors:
Eu1 0.7500 0.7500 0.7500  4 Dy 3.36, 4 Ce 3.36
Sn1 0.2500 0.2500 0.2500  4 Ce 3.36, 4 Dy 3.36
Ce1 0.5000 0.5000 0.5000  4 Sn 3.36, 4 Eu 3.36
Dy1 0.0000 0.0000 0.0000  4 Eu 3.36, 4 Sn 3.36


First-principles (GGA-PBE) data for SmY4Zn after structural relaxation, as listed in the Alexandria database.

Results
Fermi-level density of states   1.66 states/eV/atom
DFT formation energy   -11 meV per atom
Calculated total energy   -5.3196 eV/atom

a = 6.2183 Å, b = 8.9914 Å, c = 8.2083 Å
α = 114.20°, β = 100.35°, γ = 111.32°
Closest atoms and distances in Å follow each position.
Sites, in units of the cell vectors:
Y1 0.2649 0.6235 0.8047  2 Zn 3.09-3.13, 1 Sm 3.41, 1 Y 3.42
Y2 0.3635 0.9221 0.6359  2 Zn 3.04-3.13
Y3 0.7351 0.3765 0.1953  2 Zn 3.09-3.13, 1 Sm 3.41, 1 Y 3.42
Y4 0.6365 0.0779 0.3641  2 Zn 3.04-3.13
Y5 0.9602 0.8188 0.1953  2 Zn 3.09-3.13, 1 Sm 3.41, 1 Y 3.42
Sm1 0.6400 0.3900 0.7799  10 Y 3.41-3.64
Y6 0.2276 0.2863 0.3641  2 Zn 3.04-3.13
Zn1 0.7513 0.0013 0.0027  8 Y 3.04-3.13, 2 Zn 3.11
Y7 0.7724 0.7137 0.6359  2 Zn 3.04-3.13
Sm2 0.3600 0.6100 0.2201  10 Y 3.41-3.64
Y8 0.0398 0.1812 0.8047  2 Zn 3.09-3.13, 1 Sm 3.41, 1 Y 3.42
Zn2 0.2487 0.9987 0.9973  8 Y 3.04-3.13, 2 Zn 3.11


First-principles (GGA-PBE) data for La3Ga2Fe2N3 after structural relaxation, as listed in the Alexandria database.

Results
Fermi-level density of states   0.71 states/eV/atom
Calculated total energy   -7.0402 eV/atom
Formation energy from raw total energies   -0.7664 eV/atom

a = 3.9110 Å, b = 3.9110 Å, c = 11.6290 Å
α = 99.68°, β = 99.68°, γ = 90.00°
Closest atoms and distances in Å follow each position.
Sites, in units of the cell vectors:
La1 0.0000 0.0000 0.0000  2 N 2.45
La2 0.6147 0.6147 0.2294  5 N 2.59-2.77
Fe1 0.1861 0.1861 0.3723  1 N 1.76
N1 0.5000 0.5000 0.0000  6 La 2.59-2.77
La3 0.3853 0.3853 0.7706  5 N 2.59-2.77
Fe2 0.8139 0.8139 0.6277  1 N 1.76
N2 0.1083 0.1084 0.2167  1 Fe 1.76
Ga1 0.7500 0.2500 0.5000  4 Fe 2.43
N3 0.8917 0.8916 0.7833  1 Fe 1.76
Ga2 0.2500 0.7500 0.5000  4 Fe 2.43


First-principles (GGA-PBE) data for RbMgGeTe4 after structural relaxation, as listed in the Alexandria database.

Results
Fermi-level density of states   0.12 states/eV/atom
Calculated total energy   -3.2823 eV/atom
Formation energy from raw total energies   -0.4615 eV/atom

a = 7.2623 Å, b = 7.2299 Å, c = 10.9388 Å
α = 90.00°, β = 107.08°, γ = 90.00°
Closest atoms and distances in Å follow each position.
Sites, in units of the cell vectors:
Te1 0.9756 0.0208 0.2861  1 Ge 2.61, 1 Mg 2.85
Te2 0.9756 0.4792 0.2861  1 Ge 2.61, 1 Mg 2.85
Te3 0.6280 0.2500 0.8784  1 Ge 2.61, 1 Mg 2.83
Rb1 0.2100 0.2500 0.0480  8 Te 3.81-4.09, 1 Ge 4.24
Te4 0.4773 0.2500 0.4815  1 Ge 2.65, 1 Mg 2.84
Te5 0.0244 0.9792 0.7139  1 Ge 2.61, 1 Mg 2.85
Mg1 0.7163 0.7500 0.3280  4 Te 2.83-2.85
Rb2 0.7900 0.7500 0.9520  8 Te 3.81-4.09, 1 Ge 4.24
Te6 0.0244 0.5208 0.7139  1 Ge 2.61, 1 Mg 2.85
Ge1 0.2216 0.7500 0.3108  4 Te 2.61-2.65
Te7 0.3720 0.7500 0.1216  1 Ge 2.61, 1 Mg 2.83
Ge2 0.7784 0.2500 0.6892  4 Te 2.61-2.65
Te8 0.5227 0.7500 0.5185  1 Ge 2.65, 1 Mg 2.84
Mg2 0.2837 0.2500 0.6720  4 Te 2.83-2.85


- calculated total energy of number 1 (Cd2In3Pb4)?
  -2.7129 eV/atom